(w)
The following is a DFT calculation (SCAN) of a PBEsol-optimized structure of CuTcHg2.

Lattice parameters (Å, degrees): 4.7490 4.7490 4.7490 126.80 126.80 78.58
Sites, in units of the cell vectors:
Cu (0.0000, 0.0000, 0.0000)
Tc (0.5000, 0.5000, 0.0000)
Hg (0.2500, 0.7500, 0.5000)
Hg (0.7500, 0.2500, 0.5000)

Computed properties:
Calculated density: 14.1 g/cm³

---

(x)
The following is a DFT calculation (SCAN) of a PBEsol-optimized structure of CuTcHg2.

Lattice parameters (Å, degrees): 4.9459 4.9459 4.9459 131.50 131.50 71.02
Sites, in units of the cell vectors:
Cu (0.0000, 0.0000, 0.0000)
Tc (0.2500, 0.7500, 0.5000)
Hg (0.5000, 0.5000, 0.0000)
Hg (0.7500, 0.2500, 0.5000)

Computed properties:
Calculated density: 14.1 g/cm³

---

(y)
The following is a DFT calculation (SCAN) of a PBEsol-optimized structure of CuTcHg2.

Lattice parameters (Å, degrees): 2.8068 2.8068 8.4784 90.00 90.00 90.00
Sites, in units of the cell vectors:
Cu (0.0000, 0.0000, 0.0000)
Tc (0.5000, 0.5000, 0.8010)
Hg (0.0000, 0.0000, 0.5479)
Hg (0.5000, 0.5000, 0.2356)

Computed properties:
Calculated density: 14.0 g/cm³

---

Here is how they stack up, most stable first: (y), (w), (x).

---

(w)
The following is a DFT calculation (SCAN) of a PBEsol-optimized structure of Tl2CuHg.

Lattice parameters (Å, degrees): 8.9755 8.9755 8.9755 22.32 22.32 22.32
Sites, in units of the cell vectors:
Tl (0.0000, 0.0000, 0.0000)
Tl (0.2301, 0.2301, 0.2301)
Cu (0.4926, 0.4926, 0.4926)
Hg (0.7600, 0.7600, 0.7600)

Computed properties:
Calculated density: 12.2 g/cm³

---

(x)
The following is a DFT calculation (SCAN) of a PBEsol-optimized structure of Tl2CuHg.

Lattice parameters (Å, degrees): 4.7077 4.7077 4.0528 90.00 90.00 90.00
Sites, in units of the cell vectors:
Tl (0.0000, 0.5000, 0.0000)
Tl (0.5000, 0.0000, 0.0000)
Cu (0.0000, 0.0000, 0.5000)
Hg (0.5000, 0.5000, 0.5000)

Computed properties:
Calculated density: 12.4 g/cm³

---

Here is how they stack up, most stable first: (w), (x).

---

(w)
The following is a DFT calculation (SCAN) of a PBEsol-optimized structure of TlCu2Hg.

Lattice parameters (Å, degrees): 8.9159 8.9159 8.9159 20.04 20.04 20.04
Sites, in units of the cell vectors:
Tl (0.0000, 0.0000, 0.0000)
Cu (0.4805, 0.4805, 0.4805)
Cu (0.7513, 0.7513, 0.7513)
Hg (0.2251, 0.2251, 0.2251)

Computed properties:
Calculated density: 12.1 g/cm³

---

(x)
The following is a DFT calculation (SCAN) of a PBEsol-optimized structure of TlCu2Hg.

Lattice parameters (Å, degrees): 4.6135 4.6135 4.6135 60.00 60.00 60.00
Sites, in units of the cell vectors:
Tl (0.0000, 0.0000, 0.0000)
Cu (0.5000, 0.5000, 0.5000)
Cu (0.7500, 0.7500, 0.7500)
Hg (0.2500, 0.2500, 0.2500)

Computed properties:
Calculated density: 12.7 g/cm³

---

(y)
The following is a DFT calculation (SCAN) of a PBEsol-optimized structure of TlCu2Hg.

Lattice parameters (Å, degrees): 3.1138 3.1138 7.3043 90.00 90.00 90.00
Sites, in units of the cell vectors:
Tl (0.0000, 0.0000, 0.0000)
Cu (0.0000, 0.0000, 0.4191)
Cu (0.5000, 0.5000, 0.2636)
Hg (0.5000, 0.5000, 0.6479)

Computed properties:
Calculated density: 12.5 g/cm³

---

Here is how they stack up, most stable first: (y), (w), (x).

---

(w)
The following is a DFT calculation (SCAN) of a PBEsol-optimized structure of ZrCuHg2.

Lattice parameters (Å, degrees): 2.9353 4.4270 5.8507 90.00 101.43 90.00
Sites, in units of the cell vectors:
Zr (0.0000, 0.0000, 0.0000)
Cu (0.5000, 0.0000, 0.5000)
Hg (0.3760, 0.5000, 0.7372)
Hg (0.6240, 0.5000, 0.2628)

Computed properties:
Calculated density: 12.4 g/cm³

---

(x)
The following is a DFT calculation (SCAN) of a PBEsol-optimized structure of ZrCuHg2.

Lattice parameters (Å, degrees): 5.2337 5.2337 2.9094 90.00 90.00 107.52
Sites, in units of the cell vectors:
Zr (0.0000, 0.0000, 0.0000)
Cu (0.5000, 0.5000, 0.0000)
Hg (0.0000, 0.5000, 0.5000)
Hg (0.5000, 0.0000, 0.5000)

Computed properties:
Calculated density: 12.1 g/cm³

---

Here is how they stack up, most stable first: (w), (x).

---

(w)
The following is a DFT calculation (SCAN) of a PBEsol-optimized structure of Ho2CuO4.

Lattice parameters (Å, degrees): 6.3997 6.3997 5.3909 90.00 90.00 49.88
Sites, in units of the cell vectors:
Ho (0.1535, 0.1535, 0.0000)
Ho (0.3465, 0.3465, 0.5000)
Ho (0.6535, 0.6535, 0.5000)
Ho (0.8465, 0.8465, 0.0000)
Cu (0.0000, 0.0000, 0.5000)
Cu (0.5000, 0.5000, 0.0000)
O (0.0088, 0.4912, 0.7500)
O (0.2057, 0.7943, 0.7944)
O (0.2943, 0.7057, 0.2944)
O (0.4912, 0.0088, 0.2500)
O (0.5088, 0.9912, 0.7500)
O (0.7057, 0.2943, 0.7056)
O (0.7943, 0.2057, 0.2056)
O (0.9912, 0.5088, 0.2500)

Computed properties:
Calculated density: 9.0 g/cm³

---

(x)
The following is a DFT calculation (SCAN) of a PBEsol-optimized structure of Ho2CuO4.

Lattice parameters (Å, degrees): 6.3281 6.3281 6.3281 145.01 145.01 50.32
Sites, in units of the cell vectors:
Ho (0.1512, 0.1512, 0.0000)
Ho (0.8488, 0.8488, 0.0000)
Cu (0.5000, 0.5000, 0.0000)
O (0.0000, 0.5000, 0.5000)
O (0.2500, 0.7500, 0.5000)
O (0.5000, 0.0000, 0.5000)
O (0.7500, 0.2500, 0.5000)

Computed properties:
Calculated density: 9.2 g/cm³

---

Here is how they stack up, most stable first: (w), (x).

---

(w)
The following is a DFT calculation (SCAN) of a PBEsol-optimized structure of Sr2HoCu3Pb2O8.

Lattice parameters (Å, degrees): 15.6129 5.3691 5.3333 90.00 90.92 90.00
Sites, in units of the cell vectors:
Sr (0.2201, 0.0004, 0.0105)
Sr (0.2201, 0.4996, 0.5105)
Sr (0.7799, 0.9996, 0.9895)
Sr (0.7799, 0.5004, 0.4895)
Ho (0.0000, 0.0000, 0.0000)
Ho (0.0000, 0.5000, 0.5000)
Cu (0.1037, 0.9996, 0.5050)
Cu (0.1037, 0.5004, 0.0050)
Cu (0.5000, 0.0000, 0.0000)
Cu (0.5000, 0.5000, 0.5000)
Cu (0.8963, 0.0004, 0.4950)
Cu (0.8963, 0.4996, 0.9950)
Pb (0.3892, 0.0037, 0.5047)
Pb (0.3892, 0.4963, 0.0047)
Pb (0.6108, 0.5037, 0.9953)
Pb (0.6108, 0.9963, 0.4953)
O (0.0905, 0.7500, 0.2543)
O (0.0905, 0.7500, 0.7543)
O (0.0922, 0.2500, 0.2544)
O (0.0922, 0.2500, 0.7544)
O (0.2501, 0.5104, 0.0130)
O (0.2501, 0.9896, 0.5130)
O (0.3852, 0.0602, 0.0529)
O (0.3852, 0.4398, 0.5529)
O (0.6148, 0.5602, 0.4471)
O (0.6148, 0.9398, 0.9471)
O (0.7499, 0.0104, 0.4870)
O (0.7499, 0.4896, 0.9870)
O (0.9078, 0.7500, 0.2456)
O (0.9078, 0.7500, 0.7456)
O (0.9095, 0.2500, 0.2457)
O (0.9095, 0.2500, 0.7457)

Computed properties:
Calculated density: 8.0 g/cm³

---

(x)
The following is a DFT calculation (SCAN) of a PBEsol-optimized structure of Sr2HoCu3Pb2O8.

Lattice parameters (Å, degrees): 3.7727 3.7727 15.6581 90.00 90.00 90.00
Sites, in units of the cell vectors:
Sr (0.0000, 0.0000, 0.2196)
Sr (0.0000, 0.0000, 0.7804)
Ho (0.0000, 0.0000, 0.0000)
Cu (0.0000, 0.0000, 0.5000)
Cu (0.5000, 0.5000, 0.1028)
Cu (0.5000, 0.5000, 0.8972)
Pb (0.5000, 0.5000, 0.3877)
Pb (0.5000, 0.5000, 0.6123)
O (0.0000, 0.0000, 0.3827)
O (0.0000, 0.0000, 0.6173)
O (0.0000, 0.5000, 0.0910)
O (0.0000, 0.5000, 0.9090)
O (0.5000, 0.0000, 0.0910)
O (0.5000, 0.0000, 0.9090)
O (0.5000, 0.5000, 0.2494)
O (0.5000, 0.5000, 0.7506)

Computed properties:
Calculated density: 8.0 g/cm³

---

Here is how they stack up, most stable first: (w), (x).

---

(w)
The following is a DFT calculation (SCAN) of a PBEsol-optimized structure of La2CuPdI.

Lattice parameters (Å, degrees): 5.8326 5.8326 4.6068 90.00 90.00 90.00
Sites, in units of the cell vectors:
La (0.0000, 0.5000, 0.0000)
La (0.5000, 0.0000, 0.0000)
Cu (0.0000, 0.0000, 0.5000)
Pd (0.5000, 0.5000, 0.5000)
I (0.0000, 0.0000, 0.0000)

Computed properties:
Calculated density: 6.1 g/cm³

---

(x)
The following is a DFT calculation (SCAN) of a PBEsol-optimized structure of La2CuPdI.

Lattice parameters (Å, degrees): 5.4409 5.4409 4.8361 90.00 90.00 90.00
Sites, in units of the cell vectors:
La (0.0000, 0.5000, 0.0000)
La (0.5000, 0.0000, 0.0000)
Cu (0.0000, 0.0000, 0.0000)
Pd (0.5000, 0.5000, 0.5000)
I (0.0000, 0.0000, 0.5000)

Computed properties:
Calculated density: 6.7 g/cm³

---

Here is how they stack up, most stable first: (x), (w).

---

(w)
The following is a DFT calculation (SCAN) of a PBEsol-optimized structure of Cu3IO.

Lattice parameters (Å, degrees): 4.1391 4.1391 4.1391 90.00 90.00 90.00
Sites, in units of the cell vectors:
Cu (0.0000, 0.0000, 0.5000)
Cu (0.0000, 0.5000, 0.0000)
Cu (0.5000, 0.0000, 0.0000)
I (0.5000, 0.5000, 0.5000)
O (0.0000, 0.0000, 0.0000)

Computed properties:
Calculated density: 7.8 g/cm³

---

(x)
The following is a DFT calculation (SCAN) of a PBEsol-optimized structure of Cu3IO.

Lattice parameters (Å, degrees): 4.7023 4.7023 4.7023 90.00 90.00 90.00
Sites, in units of the cell vectors:
Cu (0.0000, 0.0000, 0.5000)
Cu (0.0000, 0.5000, 0.0000)
Cu (0.5000, 0.0000, 0.0000)
I (0.0000, 0.0000, 0.0000)
O (0.5000, 0.5000, 0.5000)

Computed properties:
Calculated density: 5.3 g/cm³

---

Here is how they stack up, most stable first: (w), (x).